<i>
PrTlPd | PBE-GGA | optimized geometry

Cell and atoms, written as POSCAR:
```
PrTlPd
1.0
8.490 0.000 0.000
-4.245 7.352 0.000
0.000 0.000 3.522
Pr Tl Pd
3 3 3
Cartesian
-1.262 2.185 0.000
2.523 0.000 0.000
2.983 5.167 0.000
0.000 0.000 1.761
0.000 4.901 0.000
4.245 2.451 0.000
-2.713 4.699 1.761
1.532 2.653 1.761
5.426 0.000 1.761
```

Magnetization   0.00 μB per formula unit

<ii>
PrTlPd | PBE-GGA | optimized geometry

Cell and atoms, written as POSCAR:
```
PrTlPd
1.0
0.000 3.445 3.445
3.445 0.000 3.445
3.445 3.445 0.000
Pr Tl Pd
1 1 1
Cartesian
0.000 0.000 0.000
3.445 3.445 3.445
1.722 1.722 1.722
```

Magnetization   0.49 μB per formula unit

<iii>
PrTlPd | PBE-GGA | optimized geometry

Cell and atoms, written as POSCAR:
```
PrTlPd
1.0
0.000 3.544 3.544
3.544 0.000 3.544
3.544 3.544 0.000
Pr Tl Pd
1 1 1
Cartesian
0.000 0.000 0.000
1.772 1.772 1.772
5.316 5.316 5.316
```

Magnetization   0.01 μB per formula unit

Energy above the most stable structure, in meV/atom: <i> 274; <ii> 0; <iii> 472

<i>
PrPdW | PBE-GGA | optimized geometry

Cell and atoms, written as POSCAR:
```
PrPdW
1.0
0.000 3.300 3.300
3.300 0.000 3.300
3.300 3.300 0.000
Pr Pd W
1 1 1
Cartesian
0.000 0.000 0.000
1.650 1.650 1.650
3.300 3.300 3.300
```

Magnetization   2.26 μB per formula unit

<ii>
PrPdW | PBE-GGA | optimized geometry

Cell and atoms, written as POSCAR:
```
PrPdW
1.0
0.000 3.358 3.358
3.358 0.000 3.358
3.358 3.358 0.000
Pr Pd W
1 1 1
Cartesian
0.000 0.000 0.000
5.037 5.037 5.037
1.679 1.679 1.679
```

Magnetization   2.86 μB per formula unit

Energy above the most stable structure, in meV/atom: <i> 0; <ii> 577

<i>
ScPdPt | PBE-GGA | optimized geometry

Cell and atoms, written as POSCAR:
```
ScPdPt
1.0
0.000 3.076 3.076
3.076 0.000 3.076
3.076 3.076 0.000
Sc Pd Pt
1 1 1
Cartesian
0.000 0.000 0.000
4.615 4.615 4.615
1.538 1.538 1.538
```

Magnetization   0.00 μB per formula unit

<ii>
ScPdPt | PBE-GGA | optimized geometry

Cell and atoms, written as POSCAR:
```
ScPdPt
1.0
0.000 3.118 3.118
3.118 0.000 3.118
3.118 3.118 0.000
Sc Pd Pt
1 1 1
Cartesian
0.000 0.000 0.000
3.118 3.118 3.118
4.677 4.677 4.677
```

Magnetization   0.00 μB per formula unit

Energy above the most stable structure, in meV/atom: <i> 32; <ii> 0